# ZnGeNF2

A relaxed structure of ZnGeNF2 (GGA-PBE, Alexandria).

The structure in CIF format:
```
data_ZnGeNF2
_chemical_formula_sum 'Zn1 Ge1 N1 F2'
_space_group_name_H-M_alt 'P 4/m m m'
_space_group_IT_number 123
_space_group_name_Hall '-P 4 2'
_cell_length_a 4.069
_cell_length_b 4.069
_cell_length_c 3.773
_cell_angle_alpha 90.00
_cell_angle_beta 90.00
_cell_angle_gamma 90.00
loop_
_atom_site_label
_atom_site_fract_x
_atom_site_fract_y
_atom_site_fract_z
Zn1 0.000 0.000 0.000
Ge1 0.500 0.500 0.500
N1 0.500 0.500 0.000
F1 0.000 0.500 0.500
```

Output
- Relative energy among the computed polymorphs: 0 meV/atom
- E_tot: -20.75 eV per cell
- Volume: 12.496 Å³ per atom
- Formation energy without anion corrections: -558 meV/atom
- Theoretical density: 5.1 g/cm3

---

# ZnGeN2F

A relaxed structure of ZnGeN2F (GGA-PBE, Alexandria).

The structure in CIF format:
```
data_ZnGeN2F
_chemical_formula_sum 'Zn1 Ge1 N2 F1'
_space_group_name_H-M_alt 'P 4/m m m'
_space_group_IT_number 123
_space_group_name_Hall '-P 4 2'
_cell_length_a 3.799
_cell_length_b 3.799
_cell_length_c 3.877
_cell_angle_alpha 90.00
_cell_angle_beta 90.00
_cell_angle_gamma 90.00
loop_
_atom_site_label
_atom_site_fract_x
_atom_site_fract_y
_atom_site_fract_z
Zn1 0.000 0.000 0.000
Ge1 0.500 0.500 0.500
N1 0.000 0.500 0.500
F1 0.500 0.500 0.000
```

Output
- Relative energy among the computed polymorphs: 0 meV/atom
- E_tot: -22.80 eV per cell
- Volume: 11.190 Å³ per atom
- Formation energy without anion corrections: 323 meV/atom
- Theoretical density: 5.5 g/cm3

---

# ZnGeN2F

A relaxed structure of ZnGeN2F (GGA-PBE, Alexandria).

The structure in CIF format:
```
data_ZnGeN2F
_chemical_formula_sum 'Zn1 Ge1 N2 F1'
_space_group_name_H-M_alt 'P 4/m m m'
_space_group_IT_number 123
_space_group_name_Hall '-P 4 2'
_cell_length_a 3.951
_cell_length_b 3.951
_cell_length_c 4.082
_cell_angle_alpha 90.00
_cell_angle_beta 90.00
_cell_angle_gamma 90.00
loop_
_atom_site_label
_atom_site_fract_x
_atom_site_fract_y
_atom_site_fract_z
Zn1 0.000 0.000 0.000
Ge1 0.500 0.500 0.500
N1 0.000 0.500 0.000
F1 0.000 0.000 0.500
```

Output
- Relative energy among the computed polymorphs: 419 meV/atom
- E_tot: -20.71 eV per cell
- Volume: 12.746 Å³ per atom
- Formation energy without anion corrections: 742 meV/atom
- Theoretical density: 4.8 g/cm3

---

# ZnGeNF2

A relaxed structure of ZnGeNF2 (GGA-PBE, Alexandria).

The structure in CIF format:
```
data_ZnGeNF2
_chemical_formula_sum 'Zn1 Ge1 N1 F2'
_space_group_name_H-M_alt 'P 4/m m m'
_space_group_IT_number 123
_space_group_name_Hall '-P 4 2'
_cell_length_a 3.924
_cell_length_b 3.924
_cell_length_c 4.216
_cell_angle_alpha 90.00
_cell_angle_beta 90.00
_cell_angle_gamma 90.00
loop_
_atom_site_label
_atom_site_fract_x
_atom_site_fract_y
_atom_site_fract_z
Zn1 0.000 0.000 0.000
Ge1 0.500 0.500 0.500
N1 0.000 0.000 0.500
F1 0.000 0.500 0.000
```

Output
- Relative energy among the computed polymorphs: 67 meV/atom
- E_tot: -20.42 eV per cell
- Volume: 12.983 Å³ per atom
- Formation energy without anion corrections: -491 meV/atom
- Theoretical density: 4.9 g/cm3